Entry 1:
Tb5Pr2ErSc (PBE, relaxed); total DFT energy (no corrections) = -0.1725 Ha/atom; energy of formation from the pure elements = 150 meV/atom
1.0
2.779 -10.125 0.000
2.779 10.125 0.000
0.000 0.000 10.387
Tb Pr Er Sc
10 4 2 2
Direct
0.015 0.985 0.500
0.274 0.726 0.806
0.297 0.703 0.186
0.373 0.627 0.504
0.484 0.516 0.228
0.516 0.484 0.728
0.627 0.373 0.004
0.703 0.297 0.686
0.726 0.274 0.306
0.985 0.015 0.000
0.114 0.886 0.798
0.115 0.885 0.221
0.885 0.115 0.721
0.886 0.114 0.298
0.405 0.595 0.947
0.595 0.405 0.447
0.195 0.805 0.499
0.805 0.195 0.999

Entry 2:
LiSc2Fe (PBE, relaxed); total DFT energy (no corrections) = -0.2041 Ha/atom; energy of formation from the pure elements = 207 meV/atom
1.0
3.970 0.000 0.000
0.000 3.970 0.000
0.000 0.000 9.103
Li Sc Fe
2 4 2
Direct
0.000 0.000 0.000
0.500 0.500 0.500
0.000 0.000 0.500
0.000 0.500 0.750
0.500 0.000 0.250
0.500 0.500 0.000
0.000 0.500 0.250
0.500 0.000 0.750

Entry 3:
YTeAs2Se (PBE, relaxed); total DFT energy (no corrections) = -0.1559 Ha/atom; energy relative to the elements, uncorrected = 0.24 eV per atom
1.0
5.222 0.000 0.000
0.000 5.222 0.000
0.000 0.000 5.268
Y Te As Se
1 1 2 1
Direct
0.000 0.000 0.000
0.500 0.500 0.500
0.000 0.500 0.500
0.500 0.000 0.500
0.500 0.500 0.000

Entry 4:
Tb8CeEr6 (PBE, relaxed); total DFT energy (no corrections) = -0.1651 Ha/atom; energy of formation from the pure elements = 198 meV/atom
1.0
4.841 2.795 5.840
-4.841 2.795 5.840
0.000 -5.590 5.840
Tb Ce Er
8 1 6
Direct
0.088 0.088 0.088
0.147 0.272 0.570
0.272 0.570 0.147
0.430 0.853 0.728
0.570 0.147 0.272
0.728 0.430 0.853
0.853 0.728 0.430
0.912 0.912 0.912
0.500 0.500 0.500
0.116 0.569 0.786
0.214 0.884 0.431
0.431 0.214 0.884
0.569 0.786 0.116
0.786 0.116 0.569
0.884 0.431 0.214

Entry 5:
Sn3PtO (PBE, relaxed); total DFT energy (no corrections) = -0.1755 Ha/atom; energy relative to the elements, uncorrected = -0.17 eV per atom
1.0
4.702 0.000 0.000
0.000 4.702 0.000
0.000 0.000 4.702
Sn Pt O
3 1 1
Direct
0.000 0.000 0.500
0.000 0.500 0.000
0.500 0.000 0.000
0.500 0.500 0.500
0.000 0.000 0.000

Entry 6:
Ru4PbAu (PBE, relaxed); total DFT energy (no corrections) = -0.2447 Ha/atom; energy of formation from the pure elements = 689 meV/atom
1.0
0.000 3.716 3.716
3.716 0.000 3.716
3.716 3.716 0.000
Ru Pb Au
4 1 1
Direct
0.124 0.124 0.124
0.124 0.124 0.627
0.124 0.627 0.124
0.627 0.124 0.124
0.500 0.500 0.500
0.750 0.750 0.750

Entry 7:
Rb2ErCdBr6 (PBE, relaxed); total DFT energy (no corrections) = -0.1188 Ha/atom; energy relative to the elements, uncorrected = -1.49 eV per atom
1.0
8.032 0.000 0.000
0.000 11.592 0.000
0.000 0.000 8.465
Rb Er Cd Br
4 2 2 12
Direct
0.250 0.028 0.206
0.250 0.472 0.206
0.750 0.528 0.794
0.750 0.972 0.794
0.250 0.750 0.771
0.750 0.250 0.229
0.250 0.250 0.722
0.750 0.750 0.278
0.003 0.250 0.451
0.009 0.750 0.009
0.250 0.510 0.778
0.250 0.990 0.778
0.491 0.750 0.009
0.497 0.250 0.451
0.503 0.750 0.549
0.509 0.250 0.991
0.750 0.010 0.222
0.750 0.490 0.222
0.991 0.250 0.991
0.997 0.750 0.549

Entry 8:
Mg2SiPdSe (PBE, relaxed); total DFT energy (no corrections) = -0.1124 Ha/atom; energy relative to the elements, uncorrected = 0.40 eV per atom
1.0
4.864 0.000 0.000
0.000 4.864 0.000
0.000 0.000 4.911
Mg Si Pd Se
2 1 1 1
Direct
0.000 0.500 0.000
0.500 0.000 0.000
0.000 0.000 0.500
0.500 0.500 0.500
0.000 0.000 0.000

> What is the formula in the eighth record?

Mg2SiPdSe

> Which value of total DFT energy (no corrections) does entry 8 give?

-0.1124 Ha/atom

Please write out number 6 again, unchanged.
Ru4PbAu (PBE, relaxed); total DFT energy (no corrections) = -0.2447 Ha/atom; energy of formation from the pure elements = 689 meV/atom
1.0
0.000 3.716 3.716
3.716 0.000 3.716
3.716 3.716 0.000
Ru Pb Au
4 1 1
Direct
0.124 0.124 0.124
0.124 0.124 0.627
0.124 0.627 0.124
0.627 0.124 0.124
0.500 0.500 0.500
0.750 0.750 0.750